Entry 1:
Compound: GdMgPd
Source: Alexandria
Functional: PBE-GGA
Structure: optimized geometry

## Properties
ΔH_f (0 K) in meV/atom: -532
N(E_F) in states/eV/f.u.: 1.7

```
GdMgPd
1.0
3.452 0.000 0.000
0.000 3.452 0.000
-1.726 -1.726 5.570
Pd Mg Gd
1 1 1
Direct
0.939 0.939 0.878
0.313 0.313 0.626
0.598 0.598 0.196
```

***

Entry 2:
Compound: GdMgPd
Source: Alexandria
Functional: PBE-GGA
Structure: optimized geometry

## Properties
ΔH_f (0 K) in meV/atom: -488
N(E_F) in states/eV/f.u.: 2.6

```
GdMgPd
1.0
-1.821 -0.167 3.109
3.075 -3.088 1.635
0.702 4.554 0.655
Gd Pd Mg
1 1 1
Direct
0.667 0.667 0.333
0.166 0.333 0.667
0.167 0.000 0.000
```

***

Entry 3:
Compound: GdMg2Pd
Source: Alexandria
Functional: PBE-GGA
Structure: optimized geometry

## Properties
ΔH_f (0 K) in meV/atom: -381
N(E_F) in states/eV/f.u.: 3.0

```
GdMg2Pd
1.0
3.313 0.000 0.000
0.000 3.313 0.000
0.000 0.000 7.915
Pd Gd Mg
1 1 2
Direct
0.500 0.500 0.000
0.500 0.500 0.500
0.000 0.000 0.188
0.000 0.000 0.812
```

***

Entry 4:
Compound: GdMgPd
Source: Alexandria
Functional: PBE-GGA
Structure: optimized geometry

## Properties
ΔH_f (0 K) in meV/atom: -680
N(E_F) in states/eV/f.u.: 2.3

```
GdMgPd
1.0
7.530 0.000 0.000
-3.765 6.521 0.000
0.000 0.000 4.078
Pd Gd Mg
3 3 3
Direct
0.333 0.667 0.500
0.667 0.333 0.500
0.000 0.000 0.000
0.587 0.587 0.000
0.413 0.000 0.000
0.000 0.413 0.000
0.243 0.243 0.500
0.757 0.000 0.500
0.000 0.757 0.500
```

***

Entry 5:
Compound: GdMg2Pd
Source: Alexandria
Functional: PBE-GGA
Structure: optimized geometry

## Properties
ΔH_f (0 K) in meV/atom: -81
N(E_F) in states/eV/f.u.: 2.3

```
GdMg2Pd
1.0
-2.722 -1.403 0.898
-0.290 -1.178 2.951
-4.637 8.298 4.581
Mg Pd Gd
2 1 1
Direct
0.103 0.103 0.690
0.897 0.897 0.310
0.500 0.500 0.500
0.000 0.000 0.000
```

***

Entry 6:
Compound: PmGdMgPd
Source: Alexandria
Functional: PBE-GGA
Structure: optimized geometry

## Properties
ΔH_f (0 K) in meV/atom: -363
N(E_F) in states/eV/f.u.: 3.6

```
PmGdMgPd
1.0
-1.415 3.684 3.413
-4.139 -0.755 3.086
0.669 -0.786 5.114
Mg Pm Gd Pd
1 1 1 1
Direct
0.750 0.750 0.750
0.000 0.000 0.000
0.500 0.500 0.500
0.250 0.250 0.250
```

***

Entry 7:
Compound: GdMgScPd
Source: Alexandria
Functional: PBE-GGA
Structure: optimized geometry

## Properties
ΔH_f (0 K) in meV/atom: -368
N(E_F) in states/eV/f.u.: 3.3

```
GdMgScPd
1.0
-0.089 5.010 0.256
-2.035 2.667 -3.731
-4.349 2.398 0.713
Gd Pd Mg Sc
1 1 1 1
Direct
0.250 0.250 0.250
0.000 0.000 0.000
0.500 0.500 0.500
0.750 0.750 0.750
```

***

Entry 8:
Compound: GdMgSiPd
Source: Alexandria
Functional: PBE-GGA
Structure: optimized geometry

## Properties
Uncorrected formation energy in eV per atom: -0.57
N(E_F) in states/eV/f.u.: 1.8

```
GdMgSiPd
1.0
-1.227 2.948 -3.580
-4.630 0.795 -0.972
-1.956 4.271 0.973
Si Gd Pd Mg
1 1 1 1
Direct
0.750 0.750 0.750
0.000 0.000 0.000
0.250 0.250 0.250
0.500 0.500 0.500
```

***

Repeat the fifth record exactly.
Compound: GdMg2Pd
Source: Alexandria
Functional: PBE-GGA
Structure: optimized geometry

## Properties
ΔH_f (0 K) in meV/atom: -81
N(E_F) in states/eV/f.u.: 2.3

```
GdMg2Pd
1.0
-2.722 -1.403 0.898
-0.290 -1.178 2.951
-4.637 8.298 4.581
Mg Pd Gd
2 1 1
Direct
0.103 0.103 0.690
0.897 0.897 0.310
0.500 0.500 0.500
0.000 0.000 0.000
```